The following is a PBE with a Hubbard U calculation of a relaxed structure of NiSb3F, from Alexandria.

Energy above the lowest structure with this stoichiometry in meV/atom: 265.1
Density of states at the Fermi level in states/eV/cell: 3.312
Mass density in Mg/m³: 6.47

Cell lengths 4.8450, 4.8450, 4.8450 Å; angles 90.00, 90.00, 90.00 degrees
Closest atoms and distances in Å follow each position.
Atoms (fractional coordinates):
Sb1 0.0000 0.5000 0.0000  2 F 2.42
Sb2 0.0000 0.0000 0.5000  2 F 2.42
Sb3 0.5000 0.0000 0.0000  2 F 2.42
F1 0.0000 0.0000 0.0000  6 Sb 2.42
Ni1 0.5000 0.5000 0.5000  12 Sb 3.43